# Cs2SrBrCl6 | the Alexandria database | GGA-PBE | relaxed
# Energy, hartree per atom: -0.1102
# Density, g/cm³: 2.793
# Total moment, μB per formula unit: 1.00
# Formation energy (no corrections), eV per formula unit: -13.9
data_Cs2SrBrCl6
_cell_length_a 7.703
_cell_length_b 7.703
_cell_length_c 12.946
_cell_angle_alpha 90.00
_cell_angle_beta 90.00
_cell_angle_gamma 90.00
_space_group_name_H-M_alt 'I 4/m m m'
_space_group_IT_number 139
_space_group_name_Hall '-I 4 2'
loop_
_atom_site_label
_atom_site_fract_x
_atom_site_fract_y
_atom_site_fract_z
_atom_site_occupancy
Cs1 0.000 0.500 0.250 1
Sr1 0.000 0.000 0.000 1
Br1 0.000 0.000 0.500 1
Cl1 0.000 0.000 0.217 1
Cl2 0.237 0.237 0.500 1